[1]
First-principles (PBE) data for a relaxed structure of NaCaZnSn, as listed in the Alexandria database.

The formation energy comes out at -0.24 eV/atom. As for the space group: No. 216. Its crystal system is cubic. The density of states at the Fermi level comes out at 0.749 states/eV/atom.

Unit cell a=5.2436 b=5.2436 c=5.2436 alpha=60.00 beta=60.00 gamma=60.00
With the nearest neighbours (Å) after each atom.
Element x y z (fractional)
Na 0.2500 0.2500 0.2500  4 Zn 3.21, 4 Sn 3.21
Zn 0.5000 0.5000 0.5000  4 Na 3.21, 4 Ca 3.21
Ca 0.7500 0.7500 0.7500  4 Sn 3.21, 4 Zn 3.21
Sn 0.0000 0.0000 0.0000  4 Na 3.21, 4 Ca 3.21

***

[2]
First-principles (PBE) data for a relaxed structure of Ge2SbTe2, as listed in the Alexandria database.

Its polymorph energy (0 for the lowest one) is 0.00 kcal/mol of atoms. As for the space group: No. 127. Its crystal system is tetragonal. The density of states at the Fermi level comes out at 0.609 states/eV/atom. The value obtained for the uncorrected formation energy is 0.190 eV/atom.

Unit cell a=8.2968 b=8.2968 c=3.8627 alpha=90.00 beta=90.00 gamma=90.00
With the nearest neighbours (Å) after each atom.
Element x y z (fractional)
Sb 0.0000 0.0000 0.0000  4 Ge 3.09
Sb 0.5000 0.5000 0.0000  4 Ge 3.09
Ge 0.3325 0.8324 0.0000  2 Te 2.78, 2 Sb 3.09
Ge 0.8324 0.6676 0.0000  2 Te 2.78, 2 Sb 3.09
Ge 0.6676 0.1676 0.0000  2 Te 2.78, 2 Sb 3.09
Ge 0.1676 0.3325 0.0000  2 Te 2.78, 2 Sb 3.09
Te 0.1623 0.6623 0.5000  2 Ge 2.78
Te 0.6623 0.8377 0.5000  2 Ge 2.78
Te 0.8377 0.3377 0.5000  2 Ge 2.78
Te 0.3377 0.1623 0.5000  2 Ge 2.78

***

[3]
First-principles (PBE) data for a relaxed structure of HoTh2ZnC, as listed in the Alexandria database.

The formation energy comes out at -0.18 eV/atom. As for the space group: No. 123. Its crystal system is tetragonal. The density of states at the Fermi level comes out at 0.657 states/eV/atom.

Unit cell a=5.0425 b=5.0425 c=4.8610 alpha=90.00 beta=90.00 gamma=90.00
With the nearest neighbours (Å) after each atom.
Element x y z (fractional)
Ho 0.0000 0.0000 0.4999  2 C 2.43
Th 0.0000 0.5000 0.9998  2 C 2.52
Th 0.5000 0.0000 0.9998  2 C 2.52
Zn 0.5000 0.5000 0.5007  8 Th 3.50-3.51, 4 Ho 3.57
C 0.0000 0.0000 0.9999  2 Ho 2.43, 4 Th 2.52

***

[4]
First-principles (PBE) data for a relaxed structure of NdNb2Ge2, as listed in the Alexandria database.

The formation energy comes out at -0.61 eV/atom. As for the space group: No. 139. Its crystal system is tetragonal. The density of states at the Fermi level comes out at 0.492 states/eV/atom.

Unit cell a=4.0984 b=4.0984 c=6.7510 alpha=107.67 beta=107.67 gamma=90.00
With the nearest neighbours (Å) after each atom.
Element x y z (fractional)
Nd 0.0000 0.0000 0.0000  8 Ge 3.17
Nb 0.7500 0.2500 0.5000  4 Ge 2.71, 4 Nb 2.90
Nb 0.2500 0.7500 0.5000  4 Ge 2.71, 4 Nb 2.90
Ge 0.6049 0.6049 0.2098  1 Ge 2.56, 4 Nb 2.71
Ge 0.3951 0.3951 0.7902  1 Ge 2.56, 4 Nb 2.71

***

[5]
First-principles (PBE) data for a relaxed structure of SrLaIn2Ru, as listed in the Alexandria database.

The formation energy comes out at -0.30 eV/atom. As for the space group: No. 123. Its crystal system is tetragonal. The density of states at the Fermi level comes out at 0.645 states/eV/atom.

Unit cell a=5.4201 b=5.4201 c=5.1391 alpha=90.00 beta=90.00 gamma=90.00
With the nearest neighbours (Å) after each atom.
Element x y z (fractional)
Ru 0.0000 0.0000 0.0000  2 La 2.57, 4 In 2.71
In 0.0000 0.5000 0.0000  2 Ru 2.71
In 0.5000 0.0000 0.0000  2 Ru 2.71
Sr 0.5000 0.5000 0.5000  8 In 3.73, 4 La 3.83
La 0.0000 0.0000 0.5000  2 Ru 2.57

***

[6]
First-principles (PBE) data for a relaxed structure of La2BHPt6, as listed in the Alexandria database.

As for the space group: No. 1. The calculation puts the calculated total energy at -6.3696 eV/atom. Its crystal system is triclinic. The density of states at the Fermi level comes out at 0.253 states/eV/atom.

Unit cell a=5.9067 b=6.4767 c=6.4889 alpha=54.40 beta=63.10 gamma=89.97
With the nearest neighbours (Å) after each atom.
Element x y z (fractional)
La 0.7499 0.2453 0.5015  12 Pt 2.97-3.29
La 0.2346 0.7689 0.5337  1 H 2.55
B 0.4959 0.5060 0.0052  6 Pt 2.21-2.31
H 0.0772 0.9246 0.8402  3 Pt 1.81-1.83
Pt 0.2417 0.2871 0.5182  1 H 1.81
Pt 0.7127 0.7550 0.0481  1 H 1.82
Pt 0.2386 0.7568 0.0470  1 H 1.83
Pt 0.7494 0.2534 0.0022  1 B 2.22
Pt 0.2492 0.2521 0.0028  1 B 2.21
Pt 0.7507 0.7509 0.5012  1 B 2.23

***

[7]
First-principles (PBE) data for a relaxed structure of TiNbPb, as listed in the Alexandria database.

Its polymorph energy (0 for the lowest one) is 0.00 kcal/mol of atoms. The formation energy comes out at 0.27 eV/atom. As for the space group: No. 156. Its crystal system is trigonal. The density of states at the Fermi level comes out at 1.196 states/eV/atom.

Unit cell a=3.0064 b=4.7995 c=4.7995 alpha=120.00 beta=90.00 gamma=90.00
With the nearest neighbours (Å) after each atom.
Element x y z (fractional)
Pb 0.9850 0.0000 0.0000  3 Ti 2.94, 3 Nb 2.98, 2 Pb 3.01
Nb 0.3525 0.3333 0.6667  3 Ti 2.92, 3 Pb 2.98, 2 Nb 3.01
Ti 0.6624 0.6667 0.3333  3 Nb 2.92, 3 Pb 2.94, 2 Ti 3.01

***

[8]
First-principles (PBE) data for a relaxed structure of KAsW2, as listed in the Alexandria database.

The formation energy comes out at 1.30 eV/atom. As for the space group: No. 122. Its crystal system is tetragonal. The density of states at the Fermi level comes out at 1.117 states/eV/atom.

Unit cell a=4.7351 b=4.7351 c=9.7995 alpha=76.02 beta=76.02 gamma=90.00
With the nearest neighbours (Å) after each atom.
Element x y z (fractional)
As 0.0000 0.0000 0.0000  4 W 2.61
As 0.7500 0.2500 0.5000  4 W 2.61
K 0.5000 0.5000 0.0000  4 W 3.30, 4 As 3.35
K 0.2500 0.7500 0.5000  4 W 3.30, 4 As 3.35
W 0.9413 0.1250 0.2500  2 W 2.45, 2 As 2.61
W 0.8087 0.6250 0.2500  2 W 2.45, 2 As 2.61
W 0.3750 0.0587 0.7500  2 W 2.45, 2 As 2.61
W 0.8750 0.1913 0.7500  2 W 2.45, 2 As 2.61